# 1
LaCo2Cl: relaxed, PBE.

a b c (Å): 5.682 5.682 4.501
angles (deg): 103.24 103.24 37.08
Site moments in Bohr magnetons follow the coordinates.
Fractional coordinates of all 4 atoms:
Co 0.527 0.527 0.399  1.67
Co 0.973 0.973 0.101  1.67
La 0.250 0.250 0.250  -0.12
Cl 0.750 0.750 0.750  0.01

Values from the calculation:
E above lowest polymorph, meV/atom: 233
Total moment, μB per formula unit: 3.13
Final energy, Ry per atom: -0.39687

***

# 2
La2CoCl: relaxed, PBE.

a b c (Å): 7.313 5.368 3.481
angles (deg): 78.37 79.63 128.52
Site moments in Bohr magnetons follow the coordinates.
Fractional coordinates of all 4 atoms:
La 0.000 0.000 0.000  -0.03
La 0.500 0.000 0.500  -0.03
Cl 0.000 0.500 0.500  0.00
Co 0.500 0.500 0.000  0.41

Values from the calculation:
E above lowest polymorph, meV/atom: 363
Total moment, μB per formula unit: 0.29
Final energy, Ry per atom: -0.38773

***

# 3
La2CoCl: relaxed, PBE.

a b c (Å): 4.005 4.005 8.117
angles (deg): 75.72 75.72 60.00
Fractional coordinates of all 4 atoms:
La 0.066 0.066 0.801
La 0.268 0.268 0.196
Co 0.668 0.668 0.997
Cl 0.498 0.498 0.506

Values from the calculation:
E above lowest polymorph, meV/atom: 25
Total moment, μB per formula unit: 0.00
Final energy, Ry per atom: -0.41259